# RbAuS2O8 (PBEsol, optimized geometry)
data_RbAuS2O8
_symmetry_space_group_name_H-M 'P -1'
_symmetry_Int_Tables_number 2
_cell_length_a 4.2187
_cell_length_b 5.0909
_cell_length_c 8.8561
_cell_angle_alpha 78.66
_cell_angle_beta 89.11
_cell_angle_gamma 75.08
loop_
_symmetry_equiv_pos_as_xyz
'x,y,z'
'-x,-y,-z'
loop_
_atom_site_label
_atom_site_fract_x
_atom_site_fract_y
_atom_site_fract_z
Rb1 0.0000 0.0000 0.0000
Au1 0.0000 0.5000 0.5000
S1 0.4592 0.6063 0.7390
O1 0.2185 0.7320 0.5982
O2 0.2472 0.6050 0.3136
O3 0.3256 0.4391 0.8620
O4 0.4493 0.1583 0.2247
# Uncorrected formation energy ... -1254.7 meV/atom
# Crystal system ... triclinic
# ρ ... 4.38 Mg/m³
# Final energy ... -70.8 eV for the cell shown


# RbAuS2O8 (PBEsol, optimized geometry)
data_RbAuS2O8
_symmetry_space_group_name_H-M 'C 1 2/m 1'
_symmetry_Int_Tables_number 12
_cell_length_a 10.7578
_cell_length_b 5.0601
_cell_length_c 7.3415
_cell_angle_alpha 90.00
_cell_angle_beta 118.52
_cell_angle_gamma 90.00
loop_
_symmetry_equiv_pos_as_xyz
'x,y,z'
'-x,-y,-z'
'-x,y,-z'
'x,-y,z'
'x+1/2,y+1/2,z'
'-x+1/2,-y+1/2,-z'
'-x+1/2,y+1/2,-z'
'x+1/2,-y+1/2,z'
loop_
_atom_site_label
_atom_site_fract_x
_atom_site_fract_y
_atom_site_fract_z
Rb1 0.0000 0.0000 0.0000
Au1 0.0000 0.5000 0.5000
S1 0.1961 0.0000 0.6600
O1 0.1284 0.2405 0.7114
O2 0.1568 0.5000 0.1831
O3 0.1627 0.0000 0.4454
# Uncorrected formation energy ... -1247.3 meV/atom
# Crystal system ... monoclinic
# ρ ... 4.49 Mg/m³
# Final energy ... -141.4 eV for the cell shown


# RbAuSe2O8 (PBEsol, optimized geometry)
data_RbAuSe2O8
_symmetry_space_group_name_H-M 'C 1 2/m 1'
_symmetry_Int_Tables_number 12
_cell_length_a 10.8348
_cell_length_b 5.2773
_cell_length_c 7.4934
_cell_angle_alpha 90.00
_cell_angle_beta 116.80
_cell_angle_gamma 90.00
loop_
_symmetry_equiv_pos_as_xyz
'x,y,z'
'-x,-y,-z'
'-x,y,-z'
'x,-y,z'
'x+1/2,y+1/2,z'
'-x+1/2,-y+1/2,-z'
'-x+1/2,y+1/2,-z'
'x+1/2,-y+1/2,z'
loop_
_atom_site_label
_atom_site_fract_x
_atom_site_fract_y
_atom_site_fract_z
Rb1 0.0000 0.0000 0.0000
Au1 0.0000 0.5000 0.5000
Se1 0.1989 0.0000 0.6535
O1 0.1162 0.2504 0.7064
O2 0.1439 0.5000 0.1670
O3 0.1742 0.0000 0.4224
# Uncorrected formation energy ... -702.4 meV/atom
# Crystal system ... monoclinic
# ρ ... 4.94 Mg/m³
# Final energy ... -126.1 eV for the cell shown


# Re3AuO (PBEsol, optimized geometry)
data_Re3AuO
_symmetry_space_group_name_H-M 'P m -3 m'
_symmetry_Int_Tables_number 221
_symmetry_space_group_name_Hall '-P 4 2 3'
_cell_length_a 4.7978
_cell_length_b 4.7978
_cell_length_c 4.7978
_cell_angle_alpha 90.00
_cell_angle_beta 90.00
_cell_angle_gamma 90.00
loop_
_atom_site_label
_atom_site_fract_x
_atom_site_fract_y
_atom_site_fract_z
Re1 0.0000 0.0000 0.5000
Au1 0.0000 0.0000 0.0000
O1 0.5000 0.5000 0.5000
# Uncorrected formation energy ... 3781.3 meV/atom
# Crystal system ... cubic
# ρ ... 11.60 Mg/m³
# Final energy ... -30.3 eV for the cell shown


# ReSiAuO2 (PBEsol, optimized geometry)
data_ReSiAuO2
_symmetry_space_group_name_H-M 'P 4/m m m'
_symmetry_Int_Tables_number 123
_symmetry_space_group_name_Hall '-P 4 2'
_cell_length_a 3.5064
_cell_length_b 3.5064
_cell_length_c 5.4981
_cell_angle_alpha 90.00
_cell_angle_beta 90.00
_cell_angle_gamma 90.00
loop_
_atom_site_label
_atom_site_fract_x
_atom_site_fract_y
_atom_site_fract_z
Re1 0.0000 0.0000 0.0000
Si1 0.0000 0.0000 0.5000
Au1 0.5000 0.5000 0.0000
O1 0.0000 0.5000 0.5000
# Uncorrected formation energy ... 23.7 meV/atom
# Crystal system ... tetragonal
# ρ ... 10.89 Mg/m³
# Final energy ... -33.4 eV for the cell shown


# ZnRhAu2O (PBEsol, optimized geometry)
data_ZnRhAu2O
_symmetry_space_group_name_H-M 'P 4/m m m'
_symmetry_Int_Tables_number 123
_symmetry_space_group_name_Hall '-P 4 2'
_cell_length_a 4.8843
_cell_length_b 4.8843
_cell_length_c 3.4453
_cell_angle_alpha 90.00
_cell_angle_beta 90.00
_cell_angle_gamma 90.00
loop_
_atom_site_label
_atom_site_fract_x
_atom_site_fract_y
_atom_site_fract_z
Zn1 0.0000 0.0000 0.0000
Rh1 0.5000 0.5000 0.5000
Au1 0.0000 0.5000 0.0000
O1 0.0000 0.0000 0.5000
# Uncorrected formation energy ... 565.8 meV/atom
# Crystal system ... tetragonal
# ρ ... 11.68 Mg/m³
# Final energy ... -20.0 eV for the cell shown


# Ru3AuO (PBEsol, optimized geometry)
data_Ru3AuO
_symmetry_space_group_name_H-M 'P m -3 m'
_symmetry_Int_Tables_number 221
_symmetry_space_group_name_Hall '-P 4 2 3'
_cell_length_a 4.0331
_cell_length_b 4.0331
_cell_length_c 4.0331
_cell_angle_alpha 90.00
_cell_angle_beta 90.00
_cell_angle_gamma 90.00
loop_
_atom_site_label
_atom_site_fract_x
_atom_site_fract_y
_atom_site_fract_z
Ru1 0.0000 0.0000 0.5000
Au1 0.5000 0.5000 0.5000
O1 0.0000 0.0000 0.0000
# Uncorrected formation energy ... 368.2 meV/atom
# Crystal system ... cubic
# ρ ... 13.07 Mg/m³
# Final energy ... -37.8 eV for the cell shown


# ZnRu2AuO (PBEsol, optimized geometry)
data_ZnRu2AuO
_symmetry_space_group_name_H-M 'P 4/m m m'
_symmetry_Int_Tables_number 123
_symmetry_space_group_name_Hall '-P 4 2'
_cell_length_a 4.7834
_cell_length_b 4.7834
_cell_length_c 3.4653
_cell_angle_alpha 90.00
_cell_angle_beta 90.00
_cell_angle_gamma 90.00
loop_
_atom_site_label
_atom_site_fract_x
_atom_site_fract_y
_atom_site_fract_z
Zn1 0.0000 0.0000 0.0000
Ru1 0.0000 0.5000 0.0000
Au1 0.5000 0.5000 0.5000
O1 0.0000 0.0000 0.5000
# Uncorrected formation energy ... 1231.7 meV/atom
# Crystal system ... tetragonal
# ρ ... 10.06 Mg/m³
# Final energy ... -24.9 eV for the cell shown